(1)
Material: Eu2AlBr
Method: DFT, GGA-PBE
State: optimized geometry

V   28.8 A^3/atom
Electronic total energy   -29.1 eV/cell
DOS(E_F)   11.64 states/eV per cell
Formation energy (no corrections)   -0.78 eV/atom

The structure in POSCAR format:
```
Eu2AlBr
1.0
3.681 0.000 0.000
0.000 3.681 0.000
0.000 0.000 8.491
Eu Al Br
2 1 1
Direct
0.000 0.000 0.766
0.000 0.000 0.234
0.500 0.500 0.000
0.500 0.500 0.500
```



(2)
Material: Al2BrF
Method: DFT, GGA-PBE
State: optimized geometry

V   21.7 A^3/atom
Electronic total energy   -12.7 eV/cell
DOS(E_F)   0.00 states/eV per cell
Distance to the lowest polymorph of the same formula   0.348 eV/atom
Formation energy (no corrections)   -0.42 eV/atom

The structure in POSCAR format:
```
Al2BrF
1.0
0.000 3.515 3.515
3.515 0.000 3.515
3.515 3.515 0.000
Al Br F
2 1 1
Direct
0.250 0.250 0.250
0.750 0.750 0.750
0.500 0.500 0.500
0.000 0.000 0.000
```



(3)
Material: AlBrF2
Method: DFT, GGA-PBE
State: optimized geometry

V   16.4 A^3/atom
Electronic total energy   -36.6 eV/cell
Distance to the lowest polymorph of the same formula   0.000 eV/atom
Formation energy (no corrections)   -2.28 eV/atom

The structure in POSCAR format:
```
AlBrF2
1.0
0.000 4.033 4.033
4.033 0.000 4.033
4.033 4.033 0.000
Al Br F
2 2 4
Direct
0.250 0.250 0.250
0.000 0.000 0.000
0.750 0.750 0.750
0.500 0.500 0.500
0.125 0.625 0.125
0.625 0.125 0.125
0.125 0.125 0.125
0.125 0.125 0.625
```



(4)
Material: Al2BrF
Method: DFT, GGA-PBE
State: optimized geometry

V   23.2 A^3/atom
Electronic total energy   -28.2 eV/cell
DOS(E_F)   0.00 states/eV per cell
Distance to the lowest polymorph of the same formula   0.000 eV/atom
Formation energy (no corrections)   -0.76 eV/atom

The structure in POSCAR format:
```
Al2BrF
1.0
4.938 0.000 0.000
0.000 4.938 0.000
2.469 2.469 7.603
Al Br F
4 2 2
Direct
0.429 0.125 0.250
0.321 0.625 0.250
0.375 0.571 0.750
0.875 0.679 0.750
0.000 0.000 0.000
0.750 0.250 0.500
0.500 0.500 0.000
0.250 0.750 0.500
```



(5)
Material: AlBr2F
Method: DFT, GGA-PBE
State: optimized geometry

V   21.1 A^3/atom
Electronic total energy   -30.8 eV/cell
DOS(E_F)   0.00 states/eV per cell
Distance to the lowest polymorph of the same formula   0.000 eV/atom
Formation energy (no corrections)   -1.61 eV/atom

The structure in POSCAR format:
```
AlBr2F
1.0
-4.898 6.986 4.283
-5.103 1.304 -7.963
-6.247 2.906 -1.244
Al Br F
2 4 2
Direct
0.000 0.000 0.000
0.750 0.250 0.500
0.791 0.125 0.250
0.959 0.625 0.250
0.375 0.209 0.750
0.875 0.041 0.750
0.500 0.500 0.000
0.250 0.750 0.500
```



(6)
Material: AlBrF2
Method: DFT, GGA-PBE
State: optimized geometry

V   14.0 A^3/atom
Electronic total energy   -12.3 eV/cell
DOS(E_F)   0.73 states/eV per cell
Distance to the lowest polymorph of the same formula   1.508 eV/atom
Formation energy (no corrections)   -0.78 eV/atom

The structure in POSCAR format:
```
AlBrF2
1.0
-0.685 -3.414 2.510
-1.038 0.545 4.129
-3.971 -0.908 1.352
Al Br F
1 1 2
Direct
0.000 0.000 0.000
0.500 0.500 0.500
0.250 0.250 0.250
0.750 0.750 0.750
```



(7)
Material: AlBr2F
Method: DFT, GGA-PBE
State: optimized geometry

V   21.9 A^3/atom
Electronic total energy   -11.7 eV/cell
DOS(E_F)   0.02 states/eV per cell
Distance to the lowest polymorph of the same formula   0.921 eV/atom
Formation energy (no corrections)   -0.68 eV/atom

The structure in POSCAR format:
```
AlBr2F
1.0
6.012 -1.282 5.381
5.433 -4.556 4.059
7.515 -2.251 2.281
Al Br F
1 2 1
Direct
0.500 0.500 0.500
0.901 0.901 0.901
0.099 0.099 0.099
0.000 0.000 0.000
```



(8)
Material: AlBrF2
Method: DFT, GGA-PBE
State: optimized geometry

V   18.8 A^3/atom
Electronic total energy   -15.8 eV/cell
DOS(E_F)   2.09 states/eV per cell
Distance to the lowest polymorph of the same formula   0.635 eV/atom
Formation energy (no corrections)   -1.65 eV/atom

The structure in POSCAR format:
```
AlBrF2
1.0
8.413 -0.011 -0.007
7.788 3.182 -0.007
7.788 1.525 2.794
Al Br F
1 1 2
Direct
0.500 0.500 0.500
0.000 0.000 0.000
0.867 0.867 0.867
0.133 0.133 0.133
```